4
Lattice="2.9045 0.0000 0.1095 0.0000 4.2796 0.0000 -0.2012 0.0000 5.6167" Properties=species:S:1:pos:R:3 comment="TlCr2Cd, optimized geometry, DFT PBEsol" sg=P2/m mass_density_g_cm3=9.99 dos_ef_per_ev_cell=4.4 delta_e_f_ev_per_atom=0.807 pbc="T T T"
Cd 1.3517 2.1398 2.8631
Cr 2.7673 0.0000 3.8954
Cr -0.0640 0.0000 1.8308
Tl 1.4523 2.1398 0.0548

=====

4
Lattice="3.9831 0.0000 0.0000 1.9915 3.4494 0.0000 1.9915 1.1498 3.2522" Properties=species:S:1:pos:R:3 comment="TiBe2Ir, optimized geometry, DFT PBEsol" sg=Fm-3m mass_density_g_cm3=9.59 dos_ef_per_ev_cell=1.3 relative_energy_mev_per_atom=0 delta_e_f_ev_per_atom=-0.559 pbc="T T T"
Be 1.9915 1.1498 0.8130
Be 5.9746 3.4494 2.4391
Ir 3.9831 2.2996 1.6261
Ti 0.0000 0.0000 0.0000

=====

4
Lattice="-0.2835 1.7154 -2.2889 -3.5844 1.7737 1.7733 5.1420 2.1885 2.8081" Properties=species:S:1:pos:R:3 comment="Al2SiCl, optimized geometry, DFT PBEsol" sg=Imm2 mass_density_g_cm3=2.73 dos_ef_per_ev_cell=1.2 relative_energy_mev_per_atom=0 raw_formation_energy_kj_per_mol_atoms=-1.4 pbc="T T T"
Si 0.0904 3.1949 2.3833
Al 1.2080 5.5968 2.2401
Al 1.1787 2.4767 -0.0947
Cl -1.8630 1.8316 -0.2014

=====

Number 1: VASP energy -5.271 eV/atom. Number 2: VASP energy -7.096 eV/atom. Number 3: VASP energy -3.999 eV/atom.